{
  "formula": "MnBiO2",
  "functional": "PBE with a Hubbard U",
  "state": "optimized geometry",
  "energy_ev_per_cell": -103.89,
  "cell": [[-1.146, 3.673, -1.009], [-5.908, -2.343, -1.819], [-0.159, 2.996, 11.089]],
  "species": ["O", "O", "O", "O", "O", "O", "O", "O", "Bi", "Bi", "Bi", "Bi", "Mn", "Mn", "Mn", "Mn"],
  "fractional_positions": [[0.250, 0.343, 0.432], [0.750, 0.450, 0.211], [0.250, 0.550, 0.789], [0.750, 0.843, 0.932], [0.750, 0.657, 0.568], [0.750, 0.050, 0.289], [0.250, 0.950, 0.711], [0.250, 0.157, 0.068], [0.750, 0.483, 0.869], [0.250, 0.517, 0.131], [0.250, 0.983, 0.369], [0.750, 0.017, 0.631], [0.750, 0.413, 0.387], [0.250, 0.587, 0.613], [0.250, 0.913, 0.887], [0.750, 0.087, 0.113]]
}